Entry 1:
VASP calculation (PBE) on crystalline Li2SiIrO at its relaxed geometry.

The value obtained for the volume is 18.8 A^3/atom. The calculation puts the density of states at the Fermi level at 3.45 states/eV/cell.

The space group is P4/mmm (No. 123) and the conventional cell measures 5.112, 5.112 and 3.600 Å, with angles of 90.00, 90.00 and 90.00 degrees. Symmetry generates all atoms from Li at (0.000, 0.500, 0.000), Si at (0.000, 0.000, 0.500), Ir at (0.500, 0.500, 0.000) and O at (0.500, 0.500, 0.500).

=====

Entry 2:
VASP calculation (PBE) on crystalline SrLi2IrO4 at its relaxed geometry.

The value obtained for the volume is 12.9 A^3/atom. The calculation puts the density of states at the Fermi level at 4.15 states/eV/cell.

The space group is I-42m (No. 121) and the conventional cell measures 5.284, 5.284 and 7.390 Å, with angles of 90.00, 90.00 and 90.00 degrees. Symmetry generates all atoms from Sr at (0.000, 0.000, 0.000), Li at (0.000, 0.500, 0.250), Ir at (0.000, 0.000, 0.500) and O at (0.186, 0.186, 0.685).

=====

Entry 3:
VASP calculation (PBE) on crystalline Sr2LiIrO6 at its relaxed geometry.

The value obtained for the volume is 12.6 A^3/atom. The calculation puts the density of states at the Fermi level at 10.60 states/eV/cell.

The space group is P2_1/c (No. 14) and the conventional cell measures 5.643, 5.628 and 9.747 Å, with angles of 90.00, 125.28 and 90.00 degrees. Symmetry generates all atoms from Sr at (0.248, 0.024, 0.251), Li at (0.500, 0.000, 0.000), Ir at (0.000, 0.000, 0.500), O at (0.184, 0.233, 0.974), O at (0.239, 0.712, 0.974) and O at (0.289, 0.006, 0.739).

=====

Entry 4:
VASP calculation (PBE) on crystalline Sr3LiIrO6 at its relaxed geometry.

The value obtained for the volume is 14.0 A^3/atom. The calculation puts the density of states at the Fermi level at 24.80 states/eV/cell.

The space group is R-3c (No. 167, hexagonal axes) and the conventional cell measures 9.7279, 9.7279 and 11.2414 Å, with angles of 90.00, 90.00 and 120.00 degrees. Symmetry generates all atoms from Sr at (0.0000, 0.3583, 0.2500), Li at (0.0000, 0.0000, 0.2500), Ir at (0.0000, 0.0000, 0.0000) and O at (0.0217, 0.1751, 0.3938).

=====

Entry 5:
VASP calculation (PBE) on crystalline Sr3Li2IrO6 at its relaxed geometry.

The value obtained for the volume is 15.0 A^3/atom. The calculation puts the density of states at the Fermi level at 4.89 states/eV/cell.

The space group is P-3m1 (No. 164) and the conventional cell measures 5.7383, 5.7383 and 6.3086 Å, with angles of 90.00, 90.00 and 120.00 degrees. Symmetry generates all atoms from Sr at (0.0000, 0.0000, 0.0000), Sr at (0.3333, 0.6667, 0.6196), Li at (0.3333, 0.6667, 0.1965), Ir at (0.0000, 0.0000, 0.5000) and O at (0.1642, 0.3284, 0.3075).

=====

Entry 6:
VASP calculation (PBE) on crystalline SrLi2Ir2O7 at its relaxed geometry.

The value obtained for the volume is 11.7 A^3/atom. The calculation puts the density of states at the Fermi level at 19.51 states/eV/cell.

The space group is I4/mmm (No. 139) and the conventional cell measures 3.869, 3.869 and 18.696 Å, with angles of 90.00, 90.00 and 90.00 degrees. Symmetry generates all atoms from Sr at (0.000, 0.000, 0.000), Li at (0.000, 0.500, 0.250), Ir at (0.000, 0.000, 0.386), O at (0.000, 0.000, 0.282), O at (0.000, 0.000, 0.500) and O at (0.000, 0.500, 0.104).

=====

Entry 7:
VASP calculation (PBE) on crystalline Sr3Li2IrO8 at its relaxed geometry.

The value obtained for the volume is 13.9 A^3/atom. The calculation puts the density of states at the Fermi level at 8.69 states/eV/cell.

The space group is P-3m1 (No. 164) and the conventional cell measures 5.5475, 5.5475 and 7.2773 Å, with angles of 90.00, 90.00 and 120.00 degrees. Symmetry generates all atoms from Sr at (0.0000, 0.0000, 0.0000), Sr at (0.3333, 0.6667, 0.6386), Li at (0.3333, 0.6667, 0.2131), Ir at (0.0000, 0.0000, 0.5000), O at (0.1609, 0.3217, 0.3428) and O at (0.3333, 0.6667, 0.9630).

=====

Entry 8:
VASP calculation (PBE) on crystalline Li2TaIrO8 at its relaxed geometry.

The value obtained for the volume is 11.2 A^3/atom. The calculation puts the density of states at the Fermi level at 2.04 states/eV/cell.

The space group is P-1 (No. 2) and the conventional cell measures 4.541, 4.888 and 6.079 Å, with angles of 90.02, 90.23 and 96.48 degrees. Symmetry generates all atoms from Li at (0.002, 0.499, 0.242), Ta at (0.500, 0.000, 0.500), Ir at (0.500, 0.000, 0.000), O at (0.240, 0.857, 0.254), O at (0.240, 0.857, 0.744), O at (0.306, 0.300, 0.000) and O at (0.367, 0.398, 0.499).

=====

Entry 9:
VASP calculation (PBE) on crystalline LiTaIrO6 at its relaxed geometry.

The value obtained for the volume is 11.5 A^3/atom. The calculation puts the density of states at the Fermi level at 11.02 states/eV/cell.

The space group is P4_2nm (No. 102) and the conventional cell measures 4.771, 4.771 and 9.087 Å, with angles of 90.00, 90.00 and 90.00 degrees. Symmetry generates all atoms from Li at (0.000, 0.000, 0.000), Ta at (0.000, 0.000, 0.669), Ir at (0.000, 0.000, 0.328), O at (0.185, 0.185, 0.492), O at (0.206, 0.206, 0.180) and O at (0.214, 0.214, 0.817).

=====

Entry 10:
VASP calculation (PBE) on crystalline Li2TaIrO at its relaxed geometry.

The value obtained for the volume is 18.0 A^3/atom. The calculation puts the density of states at the Fermi level at 4.10 states/eV/cell.

The space group is P4/mmm (No. 123) and the conventional cell measures 4.971, 4.971 and 3.635 Å, with angles of 90.00, 90.00 and 90.00 degrees. Symmetry generates all atoms from Li at (0.000, 0.500, 0.000), Ta at (0.000, 0.000, 0.500), Ir at (0.500, 0.500, 0.000) and O at (0.500, 0.500, 0.500).

=====

Entry 11:
VASP calculation (PBE) on crystalline Li2TbIrO6 at its relaxed geometry.

The value obtained for the volume is 11.5 A^3/atom. The calculation puts the density of states at the Fermi level at 11.13 states/eV/cell.

The space group is P2_1/c (No. 14) and the conventional cell measures 5.353, 5.488 and 9.450 Å, with angles of 90.00, 124.00 and 90.00 degrees. Symmetry generates all atoms from Li at (0.223, 0.024, 0.242), Tb at (0.000, 0.000, 0.500), Ir at (0.500, 0.000, 0.000), O at (0.153, 0.075, 0.773), O at (0.246, 0.645, 0.559) and O at (0.443, 0.192, 0.575).

=====

Entry 12:
VASP calculation (PBE) on crystalline LiTeIrO6 at its relaxed geometry.

The value obtained for the volume is 12.3 A^3/atom. The calculation puts the density of states at the Fermi level at 7.67 states/eV/cell.

The space group is P-31c (No. 163) and the conventional cell measures 5.2264, 5.2264 and 9.3830 Å, with angles of 90.00, 90.00 and 120.00 degrees. Symmetry generates all atoms from Li at (0.0000, 0.0000, 0.0000), Te at (0.3333, 0.6667, 0.2500), Ir at (0.3333, 0.6667, 0.7500) and O at (0.0014, 0.3596, 0.6370).

=====

Entry 13:
VASP calculation (PBE) on crystalline LiTiIrO4 at its relaxed geometry.

The value obtained for the volume is 11.0 A^3/atom.

The space group is Imma (No. 74) and the conventional cell measures 5.996, 6.363 and 8.041 Å, with angles of 90.00, 90.00 and 90.00 degrees. Symmetry generates all atoms from Li at (0.000, 0.250, 0.136), Ti at (0.250, 0.250, 0.750), Ir at (0.000, 0.000, 0.500), O at (0.000, 0.040, 0.758) and O at (0.224, 0.250, 0.501).

=====

Entry 14:
VASP calculation (PBE) on crystalline LiTi2IrO8 at its relaxed geometry.

The value obtained for the volume is 10.9 A^3/atom. The calculation puts the density of states at the Fermi level at 5.06 states/eV/cell.

The space group is P2/m (No. 10) and the conventional cell measures 4.616, 6.085 and 4.636 Å, with angles of 90.00, 90.02 and 90.00 degrees. Symmetry generates all atoms from Li at (0.000, 0.000, 0.000), Ti at (0.500, 0.231, 0.500), Ir at (0.000, 0.500, 0.000), O at (0.206, 0.278, 0.798), O at (0.295, 0.500, 0.299) and O at (0.308, 0.000, 0.313).

=====

Entry 15:
VASP calculation (PBE) on crystalline Li2Tl2IrO6 at its relaxed geometry.

The value obtained for the volume is 13.8 A^3/atom. The calculation puts the density of states at the Fermi level at 5.94 states/eV/cell.

The space group is C2/m (No. 12) and the conventional cell measures 5.906, 10.207 and 5.172 Å, with angles of 90.00, 103.73 and 90.00 degrees. Symmetry generates all atoms from Li at (0.000, 0.122, 0.000), Tl at (0.000, 0.336, 0.500), Ir at (0.000, 0.000, 0.500), O at (0.181, 0.143, 0.716) and O at (0.227, 0.000, 0.274).

=====

Entry 16:
VASP calculation (PBE) on crystalline Li3Tm3IrO8 at its relaxed geometry.

The value obtained for the volume is 12.2 A^3/atom. The calculation puts the density of states at the Fermi level at 20.49 states/eV/cell.

The space group is R-3m (No. 166, hexagonal axes) and the conventional cell measures 6.5125, 6.5125 and 14.9206 Å, with angles of 90.00, 90.00 and 120.00 degrees. Symmetry generates all atoms from Li at (0.0000, 0.5000, 0.0000), Tm at (0.0000, 0.5000, 0.5000), Ir at (0.0000, 0.0000, 0.5000), O at (0.0000, 0.0000, 0.2434) and O at (0.0252, 0.5126, 0.2430).

=====

Entry 17:
VASP calculation (PBE) on crystalline Li2TmIrO6 at its relaxed geometry.

The value obtained for the volume is 11.2 A^3/atom. The calculation puts the density of states at the Fermi level at 11.92 states/eV/cell.

The space group is P2_1/c (No. 14) and the conventional cell measures 5.312, 5.457 and 9.375 Å, with angles of 90.00, 124.16 and 90.00 degrees. Symmetry generates all atoms from Li at (0.232, 0.025, 0.245), Tm at (0.000, 0.000, 0.500), Ir at (0.500, 0.000, 0.000), O at (0.150, 0.063, 0.769), O at (0.247, 0.654, 0.559) and O at (0.427, 0.192, 0.569).

=====

Entry 18:
VASP calculation (PBE) on crystalline LiUIrO6 at its relaxed geometry.

The value obtained for the volume is 11.9 A^3/atom. The calculation puts the density of states at the Fermi level at 14.12 states/eV/cell.

The space group is P-31c (No. 163) and the conventional cell measures 5.1263, 5.1263 and 9.3768 Å, with angles of 90.00, 90.00 and 120.00 degrees. Symmetry generates all atoms from Li at (0.3333, 0.6667, 0.2500), U at (0.0000, 0.0000, 0.0000), Ir at (0.3333, 0.6667, 0.7500) and O at (0.0248, 0.3472, 0.6296).

=====

| no. | theoretical density (g/cm3) | total moment (μB/atom) | VASP energy (eV per cell) |
| --- | --- | --- | --- |
| 1 | 4.42 | 0.000 | -22.327 |
| 2 | 5.76 | 0.096 | -92.045 |
| 3 | 6.18 | 0.171 | -124.226 |
| 4 | 6.03 | 0.185 | -413.887 |
| 5 | 5.21 | 0.088 | -70.847 |
| 6 | 7.10 | 0.001 | -148.160 |
| 7 | 5.11 | 0.233 | -81.816 |
| 8 | 6.38 | 0.000 | -80.628 |
| 9 | 7.64 | 0.113 | -134.831 |
| 10 | 7.45 | 0.530 | -25.913 |
| 11 | 6.65 | 0.120 | -128.207 |
| 12 | 6.33 | 0.220 | -105.672 |
| 13 | 6.73 | 0.000 | -207.932 |
| 14 | 5.39 | 0.102 | -89.220 |
| 15 | 7.80 | 0.096 | -117.633 |
| 16 | 7.71 | 0.070 | -314.124 |
| 17 | 6.96 | 0.046 | -128.523 |
| 18 | 8.30 | 0.183 | -138.487 |